[1]
## TaBAs2Se (PBE-GGA)

Data for a relaxed TaBAs2Se crystal.

a b c (Å): 4.3593 4.3593 4.3761
angles (deg): 90.00 90.00 90.00
Atoms (fractional coordinates):
As  0.0000  0.5000  0.0000
As  0.5000  0.0000  0.0000
Se  0.0000  0.0000  0.5000
B  0.0000  0.0000  0.0000
Ta  0.5000  0.5000  0.5000

The volume comes out at 83.2 Å³ per cell. The formation energy without anion corrections is 0.862 eV/atom. For the magnetization, the calculation gives 0.00 μB/cell.

***

[2]
## LiPaSn2S6 (PBE-GGA)

Data for a relaxed LiPaSn2S6 crystal.

a b c (Å): 6.6874 6.6871 7.4130
angles (deg): 63.18 63.18 60.00
Atoms (fractional coordinates):
S  0.0941  0.4009  0.7639
S  0.9539  0.6003  0.2510
S  0.7411  0.0942  0.7639
S  0.4009  0.7412  0.7638
S  0.6003  0.1948  0.2509
S  0.1948  0.9539  0.2509
Sn  0.0090  0.0089  0.9729
Sn  0.5255  0.5256  0.4233
Li  0.8127  0.8126  0.5624
Pa  0.3293  0.3293  0.0121

The volume comes out at 245.0 Å³ per cell. The formation energy without anion corrections is -0.872 eV/atom. For the magnetization, the calculation gives 0.00 μB/cell.

***

[3]
## Rb2Al2Cd (PBE-GGA)

Data for a relaxed Rb2Al2Cd crystal.

a b c (Å): 3.9061 3.9061 12.5293
angles (deg): 81.03 81.03 90.00
Atoms (fractional coordinates):
Rb  0.3859  0.3859  0.2281
Rb  0.6141  0.6141  0.7719
Al  0.7500  0.2500  0.5000
Al  0.2500  0.7500  0.5000
Cd  0.0000  0.0000  0.0000

The volume comes out at 186.5 Å³ per cell. Its energy relative to the elements is 0.237 eV per atom. For the magnetization, the calculation gives 0.00 μB/cell.